VASP calculation (GGA-PBE) on a relaxed structure of Pu2UNi.

Cell lengths 3.3776, 3.3776, 6.8742 Å; angles 90.00, 90.00, 90.00 degrees
Closest atoms and distances in Å follow each position.
Element x y z (fractional)
Ni 0.5000 0.5000 0.0000  8 Pu 2.86
U 0.5000 0.5000 0.5000  8 Pu 3.02, 4 U 3.38
Pu 0.0000 0.0000 0.7700  4 Ni 2.86, 4 U 3.02, 1 Pu 3.16
Pu 0.0000 0.0000 0.2300  4 Ni 2.86, 4 U 3.02, 1 Pu 3.16

E_form: 0.085 eV per atom
crystal system: tetragonal
ΔE to the lowest computed polymorph: 0 meV/atom
density of states at the Fermi level: 2.380 states/eV/atom
M_tot: 2.594 μB per atom
raw total energy: -45.4 eV per cell

VASP calculation (GGA-PBE) on a relaxed structure of TaAs2Ir.

Cell lengths 2.8846, 2.8846, 9.0851 Å; angles 90.00, 90.00, 90.02 degrees
Closest atoms and distances in Å follow each position.
Element x y z (fractional)
As 0.0000 0.0000 0.9459  4 Ta 2.86, 4 As 2.88
As 0.5000 0.5000 0.3221  4 Ir 2.64, 4 As 2.88
Ir 0.0000 0.0000 0.5069  4 As 2.64, 4 Ta 2.84, 4 Ir 2.88
Ta 0.5000 0.5000 0.7251  4 Ir 2.84, 4 As 2.86, 4 Ta 2.88

E_form: -0.214 eV per atom
crystal system: tetragonal
ΔE to the lowest computed polymorph: 0 meV/atom
density of states at the Fermi level: 0.370 states/eV/atom
M_tot: 0.000 μB per atom
raw total energy: -30.9 eV per cell

VASP calculation (GGA-PBE) on a relaxed structure of TlAg3.

Cell lengths 4.8471, 3.0327, 5.5650 Å; angles 81.43, 90.00, 90.00 degrees
Closest atoms and distances in Å follow each position.
Element x y z (fractional)
Tl 0.5000 0.2500 0.2500  6 Ag 2.96-3.00, 2 Tl 3.03
Ag 0.0000 0.9894 0.9849  7 Ag 2.85-3.17, 2 Tl 3.00
Ag 0.5000 0.7500 0.7500  6 Ag 2.90-3.03, 2 Tl 2.96
Ag 0.0000 0.5106 0.5151  7 Ag 2.85-3.17, 2 Tl 3.00

E_form: 0.124 eV per atom
crystal system: monoclinic
density of states at the Fermi level: 0.114 states/eV/atom
M_tot: 0.000 μB per atom
raw total energy: -10.4 eV per cell

VASP calculation (GGA-PBE) on a relaxed structure of NaSr2BiO4.

Cell lengths 3.6389, 6.1843, 6.1290 Å; angles 108.28, 90.00, 90.00 degrees
Closest atoms and distances in Å follow each position.
Element x y z (fractional)
Na 0.5000 0.5000 0.0000  6 O 2.49-2.61
Sr 0.5000 0.0000 0.5000  6 O 2.50-2.52
Sr 0.0000 0.5000 0.5000  6 O 2.58-2.60
Bi 0.0000 0.0000 0.0000  6 O 2.41-2.52
O 0.5000 0.2436 0.2417  1 Na 2.49, 3 Sr 2.50-2.60, 2 Bi 2.52
O 0.5000 0.7564 0.7583  1 Na 2.49, 3 Sr 2.50-2.60, 2 Bi 2.52
O 0.0000 0.2326 0.7488  1 Bi 2.41, 3 Sr 2.52-2.58, 2 Na 2.61
O 0.0000 0.7674 0.2512  1 Bi 2.41, 3 Sr 2.52-2.58, 2 Na 2.61

crystal system: monoclinic
density of states at the Fermi level: 0.000 states/eV/atom
M_tot: 0.000 μB per atom
raw total energy: -44.5 eV per cell

VASP calculation (GGA-PBE) on a relaxed structure of Ag3HgPd3.

Cell lengths 6.5649, 6.5649, 6.5649 Å; angles 101.59, 101.59, 101.59 degrees
Closest atoms and distances in Å follow each position.
Element x y z (fractional)
Ag 0.3002 0.4642 0.8907  5 Pd 2.71-2.82
Ag 0.3907 0.9642 0.8002  5 Pd 2.71-2.82
Ag 0.8002 0.3907 0.9642  5 Pd 2.71-2.82
Ag 0.4642 0.8907 0.3002  5 Pd 2.71-2.82
Ag 0.8907 0.3002 0.4642  5 Pd 2.71-2.82
Ag 0.9642 0.8002 0.3907  5 Pd 2.71-2.82
Hg 0.5769 0.5769 0.5769  6 Pd 2.75-2.77
Hg 0.0769 0.0769 0.0769  6 Pd 2.75-2.77
Pd 0.0094 0.6903 0.7843  5 Ag 2.71-2.82, 2 Hg 2.75-2.77, 2 Pd 2.89
Pd 0.2843 0.1903 0.5094  5 Ag 2.71-2.82, 2 Hg 2.75-2.77, 2 Pd 2.89
Pd 0.1903 0.5094 0.2843  5 Ag 2.71-2.82, 2 Hg 2.75-2.77, 2 Pd 2.89
Pd 0.7843 0.0094 0.6903  5 Ag 2.71-2.82, 2 Hg 2.75-2.77, 2 Pd 2.89
Pd 0.5094 0.2843 0.1903  5 Ag 2.71-2.82, 2 Hg 2.75-2.77, 2 Pd 2.89
Pd 0.6903 0.7843 0.0094  5 Ag 2.71-2.82, 2 Hg 2.75-2.77, 2 Pd 2.89

E_form: 0.109 eV per atom
crystal system: trigonal
ΔE to the lowest computed polymorph: 137 meV/atom
density of states at the Fermi level: 0.306 states/eV/atom
M_tot: 0.000 μB per atom
raw total energy: -47.3 eV per cell

VASP calculation (GGA-PBE) on a relaxed structure of PrEuZnGe.

Cell lengths 5.2513, 5.2513, 5.2513 Å; angles 60.00, 60.00, 60.00 degrees
Closest atoms and distances in Å follow each position.
Element x y z (fractional)
Eu 0.0000 0.0000 0.0000  4 Zn 3.22, 4 Ge 3.22
Pr 0.5000 0.5000 0.5000  4 Ge 3.22, 4 Zn 3.22
Ge 0.2500 0.2500 0.2500  4 Eu 3.22, 4 Pr 3.22
Zn 0.7500 0.7500 0.7500  4 Pr 3.22, 4 Eu 3.22

E_form: -0.478 eV per atom
crystal system: cubic
density of states at the Fermi level: 0.710 states/eV/atom
M_tot: 1.885 μB per atom
raw total energy: -22.9 eV per cell

VASP calculation (GGA-PBE) on a relaxed structure of Ac9Pm2Dy.

Cell lengths 5.5102, 5.5102, 16.5326 Å; angles 90.00, 90.00, 90.00 degrees
Closest atoms and distances in Å follow each position.
Element x y z (fractional)
Ac 0.5000 0.5000 0.0000  8 Ac 3.88, 4 Dy 3.90
Ac 0.5000 0.5000 0.3327  4 Pm 3.90, 8 Ac 3.90
Ac 0.5000 0.5000 0.6673  4 Pm 3.90, 8 Ac 3.90
Ac 0.5000 0.0000 0.1654  8 Ac 3.88-3.90, 2 Dy 3.88, 2 Pm 3.90
Ac 0.5000 0.0000 0.5000  8 Ac 3.90, 4 Pm 3.91
Ac 0.5000 0.0000 0.8346  8 Ac 3.88-3.90, 2 Dy 3.88, 2 Pm 3.90
Ac 0.0000 0.5000 0.1654  8 Ac 3.88-3.90, 2 Dy 3.88, 2 Pm 3.90
Ac 0.0000 0.5000 0.5000  8 Ac 3.90, 4 Pm 3.91
Ac 0.0000 0.5000 0.8346  8 Ac 3.88-3.90, 2 Dy 3.88, 2 Pm 3.90
Pm 0.0000 0.0000 0.3325  12 Ac 3.90-3.91
Pm 0.0000 0.0000 0.6675  12 Ac 3.90-3.91
Dy 0.0000 0.0000 0.0000  12 Ac 3.88-3.90

E_form: 0.028 eV per atom
crystal system: tetragonal
density of states at the Fermi level: 1.609 states/eV/atom
M_tot: 0.000 μB per atom
raw total energy: -50.7 eV per cell

VASP calculation (GGA-PBE) on a relaxed structure of SbIF3.

Cell lengths 4.7869, 4.7869, 4.7869 Å; angles 90.00, 90.00, 90.00 degrees
Closest atoms and distances in Å follow each position.
Element x y z (fractional)
I 0.0000 0.0000 0.0000  6 F 2.39
Sb 0.5000 0.5000 0.5000  12 F 3.38
F 0.0000 0.5000 0.0000  2 I 2.39
F 0.0000 0.0000 0.5000  2 I 2.39
F 0.5000 0.0000 0.0000  2 I 2.39

crystal system: cubic
ΔE to the lowest computed polymorph: 1503 meV/atom
density of states at the Fermi level: 1.515 states/eV/atom
M_tot: 0.347 μB per atom
raw total energy: -13.1 eV per cell

VASP calculation (GGA-PBE) on a relaxed structure of MnHg4Mo.

Cell lengths 5.6836, 5.6836, 5.6836 Å; angles 60.00, 60.00, 60.00 degrees
Closest atoms and distances in Å follow each position.
Element x y z (fractional)
Mn 0.7500 0.7500 0.7500  12 Hg 3.33, 4 Mo 3.48
Hg 0.8753 0.3749 0.3749  6 Hg 2.84
Hg 0.3749 0.3749 0.8753  6 Hg 2.84
Hg 0.3749 0.8753 0.3749  6 Hg 2.84
Hg 0.3749 0.3749 0.3749  6 Hg 2.84
Mo 0.0000 0.0000 0.0000  12 Hg 3.33, 4 Mn 3.48

E_form: 0.828 eV per atom
crystal system: cubic
density of states at the Fermi level: 0.419 states/eV/atom
M_tot: 0.166 μB per atom
raw total energy: -16.2 eV per cell

VASP calculation (GGA-PBE) on a relaxed structure of CsYFeCl6.

Cell lengths 6.7530, 6.7541, 7.8184 Å; angles 90.09, 90.04, 59.99 degrees
Closest atoms and distances in Å follow each position.
Element x y z (fractional)
Cs 0.9997 0.0001 0.0000  6 Cl 3.52-3.53
Y 0.3325 0.3338 0.5000  6 Cl 2.66
Fe 0.6657 0.6671 0.5000  6 Cl 2.50-2.51
Cl 0.9829 0.3885 0.3094  1 Fe 2.51, 1 Y 2.66
Cl 0.3858 0.9830 0.6888  1 Fe 2.50, 1 Y 2.66
Cl 0.6322 0.3850 0.6882  1 Fe 2.51, 1 Y 2.66
Cl 0.9829 0.6286 0.6906  1 Fe 2.51, 1 Y 2.66
Cl 0.3859 0.6311 0.3111  1 Fe 2.50, 1 Y 2.66
Cl 0.6322 0.9829 0.3118  1 Fe 2.51, 1 Y 2.66

crystal system: monoclinic
density of states at the Fermi level: 0.737 states/eV/atom
M_tot: 0.444 μB per atom
raw total energy: -42.3 eV per cell

VASP calculation (GGA-PBE) on a relaxed structure of TaTc2Ag.

Cell lengths 4.3595, 2.7069, 5.6489 Å; angles 76.00, 90.00, 90.00 degrees
Closest atoms and distances in Å follow each position.
Element x y z (fractional)
Ag 0.5000 0.2500 0.2500  2 Ag 2.71, 2 Ta 2.82, 8 Tc 2.83-3.00
Ta 0.5000 0.7500 0.7500  2 Ta 2.71, 4 Tc 2.72, 2 Ag 2.82
Tc 0.0000 0.9452 0.0005  4 Tc 2.71-2.91, 2 Ta 2.72, 4 Ag 2.83-3.00
Tc 0.0000 0.5548 0.4995  4 Tc 2.71-2.91, 2 Ta 2.72, 4 Ag 2.83-3.00

E_form: 0.283 eV per atom
crystal system: monoclinic
ΔE to the lowest computed polymorph: 107 meV/atom
density of states at the Fermi level: 0.734 states/eV/atom
M_tot: 0.000 μB per atom
raw total energy: -34.3 eV per cell

VASP calculation (GGA-PBE) on a relaxed structure of Sm3Ga4Ge2.

Cell lengths 4.2215, 5.9926, 8.4552 Å; angles 99.42, 90.00, 110.62 degrees
Closest atoms and distances in Å follow each position.
Element x y z (fractional)
Sm 0.6677 0.3354 0.6671  5 Ga 3.04-3.40, 4 Ge 3.08-3.40
Sm 0.0000 0.0000 0.0000  8 Ga 3.06-3.37, 4 Ge 3.40
Sm 0.3323 0.6646 0.3329  5 Ga 3.04-3.40, 4 Ge 3.08-3.40
Ga 0.7050 0.4100 0.0352  2 Ga 2.46, 1 Ge 2.50
Ga 0.2950 0.5900 0.9648  2 Ga 2.46, 1 Ge 2.50
Ga 0.9699 0.9398 0.6338  1 Ga 2.47, 2 Ge 2.51
Ga 0.0301 0.0602 0.3662  1 Ga 2.47, 2 Ge 2.51
Ge 0.6295 0.2590 0.2959  3 Ga 2.50-2.51
Ge 0.3705 0.7410 0.7041  3 Ga 2.50-2.51

E_form: -0.699 eV per atom
crystal system: monoclinic
density of states at the Fermi level: 0.278 states/eV/atom
M_tot: 0.000 μB per atom
raw total energy: -41.8 eV per cell